The following is a DFT calculation (PBE-GGA) of a relaxed V2GaRh crystal.

Lattice parameters (Å, degrees): 4.168 4.168 12.624 90.00 90.00 90.00
Space group I4/mmm (No. 139)
Unique sites:
V: 0.000 0.000 0.118
V: 0.000 0.500 0.000
Ga: 0.000 0.000 0.370
Rh: 0.000 0.500 0.250

Calculated values
The calculation puts the formation energy at -1.58 eV per formula unit. The value obtained for the magnetic moment is 0.00 Bohr magnetons per cell. The volume is 219.4 Å³ per cell.

=====

The following is a DFT calculation (PBE-GGA) of a relaxed VGaRh2W crystal.

Lattice parameters (Å, degrees): 4.372 4.372 4.478 90.00 90.00 90.00
Space group P4/mmm (No. 123)
Unique sites:
V: 0.000 0.000 0.000
Ga: 0.000 0.000 0.500
Rh: 0.000 0.500 0.500
W: 0.500 0.500 0.000

Calculated values
The calculation puts the formation energy at 5.65 eV per formula unit. The value obtained for the magnetic moment is 0.00 Bohr magnetons per cell. The volume is 85.6 Å³ per cell.

=====

The following is a DFT calculation (PBE-GGA) of a relaxed ZrVGaRh crystal.

Lattice parameters (Å, degrees): 6.376 6.376 6.376 90.00 90.00 90.00
Space group F-43m (No. 216)
Unique sites:
Zr: 0.000 0.000 0.000
V: 0.250 0.250 0.750
Ga: 0.000 0.000 0.500
Rh: 0.250 0.250 0.250

Calculated values
The calculation puts the formation energy at -1.99 eV per formula unit. The value obtained for the magnetic moment is 11.98 Bohr magnetons per cell. The volume is 259.2 Å³ per cell.

=====

The following is a DFT calculation (PBE-GGA) of a relaxed GaRh2W crystal.

Lattice parameters (Å, degrees): 2.841 2.841 7.169 90.00 90.00 90.00
Space group P4/mmm (No. 123)
Unique sites:
Ga: 0.000 0.000 0.000
Rh: 0.500 0.500 0.238
W: 0.000 0.000 0.500

Calculated values
The calculation puts the formation energy at -1.68 eV per formula unit. The value obtained for the magnetic moment is 0.00 Bohr magnetons per cell. The volume is 57.9 Å³ per cell.

=====

The following is a DFT calculation (PBE-GGA) of a relaxed GaRh9W2 crystal.

Lattice parameters (Å, degrees): 3.863 3.863 11.593 90.00 90.00 90.00
Space group P4/mmm (No. 123)
Unique sites:
Ga: 0.000 0.000 0.000
Rh: 0.000 0.500 0.171
Rh: 0.000 0.500 0.500
Rh: 0.500 0.500 0.000
Rh: 0.500 0.500 0.335
W: 0.000 0.000 0.327

Calculated values
The calculation puts the formation energy at -3.70 eV per formula unit. The value obtained for the magnetic moment is 0.00 Bohr magnetons per cell. The volume is 173.0 Å³ per cell.

=====

The following is a DFT calculation (PBE-GGA) of a relaxed GaRh2W crystal.

Lattice parameters (Å, degrees): 5.770 5.770 10.342 90.00 90.00 90.00
Space group I-42d (No. 122)
Unique sites:
Ga: 0.000 0.000 0.000
Rh: 0.248 0.250 0.625
W: 0.000 0.000 0.500

Calculated values
The calculation puts the formation energy at 2.50 eV per formula unit. The value obtained for the magnetic moment is 0.00 Bohr magnetons per cell. The volume is 344.3 Å³ per cell.

=====

The following is a DFT calculation (PBE-GGA) of a relaxed Ga2Rh3W crystal.

Lattice parameters (Å, degrees): 2.867 2.867 10.442 90.00 90.00 90.00
Space group P4/mmm (No. 123)
Unique sites:
Ga: 0.000 0.000 0.159
Rh: 0.500 0.500 0.000
Rh: 0.500 0.500 0.322
W: 0.000 0.000 0.500

Calculated values
The calculation puts the formation energy at -3.01 eV per formula unit. The value obtained for the magnetic moment is 0.00 Bohr magnetons per cell. The volume is 85.9 Å³ per cell.

=====

The following is a DFT calculation (PBE-GGA) of a relaxed Ga3RhW crystal.

Lattice parameters (Å, degrees): 4.667 4.667 4.667 90.00 90.00 90.00
Space group Pm-3m (No. 221)
Unique sites:
Ga: 0.000 0.000 0.500
Rh: 0.000 0.000 0.000
W: 0.500 0.500 0.500

Calculated values
The calculation puts the formation energy at 4.19 eV per formula unit. The value obtained for the magnetic moment is 3.48 Bohr magnetons per cell. The volume is 101.6 Å³ per cell.

=====

The following is a DFT calculation (PBE-GGA) of a relaxed Ga4Rh5W crystal.

Lattice parameters (Å, degrees): 2.912 2.912 16.713 90.00 90.00 90.00
Space group P4/mmm (No. 123)
Unique sites:
Ga: 0.000 0.000 0.097
Ga: 0.000 0.000 0.291
Rh: 0.500 0.500 0.000
Rh: 0.500 0.500 0.195
Rh: 0.500 0.500 0.390
W: 0.000 0.000 0.500

Calculated values
The calculation puts the formation energy at -5.61 eV per formula unit. The value obtained for the magnetic moment is 0.00 Bohr magnetons per cell. The volume is 141.7 Å³ per cell.

=====

The following is a DFT calculation (PBE-GGA) of a relaxed GaRh2W crystal.

Lattice parameters (Å, degrees): 2.8266 2.8266 25.7242 90.00 90.00 120.00
Space group R-3m (No. 166, hexagonal axes)
Unique sites:
Ga: 0.0000 0.0000 0.0000
Rh: 0.0000 0.0000 0.2521
W: 0.0000 0.0000 0.5000

Calculated values
The calculation puts the formation energy at -0.85 eV per formula unit. The value obtained for the magnetic moment is 0.00 Bohr magnetons per cell. The volume is 178.0 Å³ per cell.

=====

The following is a DFT calculation (PBE-GGA) of a relaxed Y2GaRhW crystal.

Lattice parameters (Å, degrees): 5.343 5.343 4.685 90.00 90.00 90.00
Space group P4/mmm (No. 123)
Unique sites:
Y: 0.000 0.500 0.000
Ga: 0.000 0.000 0.500
Rh: 0.500 0.500 0.000
W: 0.500 0.500 0.500

Calculated values
The calculation puts the formation energy at 2.08 eV per formula unit. The value obtained for the magnetic moment is 0.65 Bohr magnetons per cell. The volume is 133.7 Å³ per cell.

=====

The following is a DFT calculation (PBE-GGA) of a relaxed YGa3Rh crystal.

Lattice parameters (Å, degrees): 4.730 4.730 4.730 90.00 90.00 90.00
Space group Pm-3m (No. 221)
Unique sites:
Y: 0.000 0.000 0.000
Ga: 0.000 0.500 0.500
Rh: 0.500 0.500 0.500

Calculated values
The calculation puts the formation energy at -1.74 eV per formula unit. The value obtained for the magnetic moment is 0.00 Bohr magnetons per cell. The volume is 105.8 Å³ per cell.

=====

The following is a DFT calculation (PBE-GGA) of a relaxed YGa2Rh4 crystal.

Lattice parameters (Å, degrees): 4.3079 4.3079 21.9698 90.00 90.00 120.00
Space group R-3m (No. 166, hexagonal axes)
Unique sites:
Y: 0.0000 0.0000 0.0000
Ga: 0.0000 0.0000 0.2422
Rh: 0.0000 0.0000 0.1291
Rh: 0.0000 0.0000 0.3914

Calculated values
The calculation puts the formation energy at -3.35 eV per formula unit. The value obtained for the magnetic moment is 0.00 Bohr magnetons per cell. The volume is 353.1 Å³ per cell.

=====

The following is a DFT calculation (PBE-GGA) of a relaxed Y2Ga5Rh crystal.

Lattice parameters (Å, degrees): 6.173 6.173 8.323 90.00 90.00 90.00
Space group I4mm (No. 107)
Unique sites:
Y: 0.000 0.500 0.000
Ga: 0.000 0.000 0.497
Ga: 0.214 0.214 0.748
Rh: 0.000 0.000 0.199

Calculated values
The calculation puts the formation energy at -4.33 eV per formula unit. The value obtained for the magnetic moment is 0.00 Bohr magnetons per cell. The volume is 317.2 Å³ per cell.

=====

The following is a DFT calculation (PBE-GGA) of a relaxed YGa3Rh4 crystal.

Lattice parameters (Å, degrees): 4.4102 4.4102 22.0730 90.00 90.00 120.00
Space group R-3m (No. 166, hexagonal axes)
Unique sites:
Y: 0.0000 0.0000 0.0000
Ga: 0.0000 0.0000 0.2491
Ga: 0.0000 0.0000 0.5000
Rh: 0.0000 0.0000 0.1304
Rh: 0.0000 0.0000 0.3872

Calculated values
The calculation puts the formation energy at -6.03 eV per formula unit. The value obtained for the magnetic moment is 0.00 Bohr magnetons per cell. The volume is 371.8 Å³ per cell.

=====

The following is a DFT calculation (PBE-GGA) of a relaxed Y2GaRh3 crystal.

Lattice parameters (Å, degrees): 5.6130 5.6130 11.9785 90.00 90.00 120.00
Space group R-3m (No. 166, hexagonal axes)
Unique sites:
Y: 0.0000 0.0000 0.1299
Ga: 0.0000 0.0000 0.5000
Rh: 0.0000 0.5000 0.0000

Calculated values
The calculation puts the formation energy at -5.16 eV per formula unit. The value obtained for the magnetic moment is 0.00 Bohr magnetons per cell. The volume is 326.8 Å³ per cell.

=====

The following is a DFT calculation (PBE-GGA) of a relaxed Y2Ga8Rh crystal.

Lattice parameters (Å, degrees): 4.312 4.312 11.173 90.00 90.00 90.00
Space group P4/mmm (No. 123)
Unique sites:
Y: 0.000 0.000 0.191
Ga: 0.000 0.500 0.000
Ga: 0.000 0.500 0.379
Ga: 0.500 0.500 0.193
Rh: 0.000 0.000 0.500

Calculated values
The calculation puts the formation energy at -6.16 eV per formula unit. The value obtained for the magnetic moment is 0.00 Bohr magnetons per cell. The volume is 207.8 Å³ per cell.

=====

The following is a DFT calculation (PBE-GGA) of a relaxed YGa3Rh crystal.

Lattice parameters (Å, degrees): 8.467 5.722 7.560 90.00 96.86 90.00
Space group P2_1/c (No. 14)
Unique sites:
Y: 0.130 0.122 0.192
Ga: 0.129 0.615 0.060
Ga: 0.288 0.630 0.368
Ga: 0.392 0.168 0.501
Rh: 0.454 0.559 0.696

Calculated values
The calculation puts the formation energy at -2.94 eV per formula unit. The value obtained for the magnetic moment is 0.00 Bohr magnetons per cell. The volume is 363.7 Å³ per cell.

=====

The following is a DFT calculation (PBE-GGA) of a relaxed YGa3Rh2 crystal.

Lattice parameters (Å, degrees): 5.9392 5.9392 20.7905 90.00 90.00 120.00
Space group R-3m (No. 166, hexagonal axes)
Unique sites:
Y: 0.0000 0.0000 0.2139
Ga: 0.0076 0.5038 0.2408
Rh: 0.0000 0.0000 0.0000
Rh: 0.0000 0.5000 0.0000

Calculated values
The calculation puts the formation energy at -3.32 eV per formula unit. The value obtained for the magnetic moment is 0.00 Bohr magnetons per cell. The volume is 635.1 Å³ per cell.

=====

The following is a DFT calculation (PBE-GGA) of a relaxed Y8GaRh2 crystal.

Lattice parameters (Å, degrees): 8.564 13.088 5.633 90.00 105.50 90.00
Space group Cm (No. 8)
Unique sites:
Y: 0.000 0.000 0.000
Y: 0.074 0.371 0.772
Y: 0.165 0.130 0.586
Y: 0.250 0.500 0.383
Y: 0.367 0.234 0.188
Ga: 0.370 0.000 0.283
Rh: 0.371 0.308 0.691

Calculated values
The calculation puts the formation energy at -3.96 eV per formula unit. The value obtained for the magnetic moment is 0.00 Bohr magnetons per cell. The volume is 608.4 Å³ per cell.

=====

The following is a DFT calculation (PBE-GGA) of a relaxed Y4GaRh2 crystal.

Lattice parameters (Å, degrees): 4.9048 4.9048 23.8408 90.00 90.00 120.00
Space group R-3m (No. 166, hexagonal axes)
Unique sites:
Y: 0.0000 0.0000 0.1202
Y: 0.0000 0.0000 0.3717
Ga: 0.0000 0.0000 0.5000
Rh: 0.0000 0.0000 0.2483

Calculated values
The calculation puts the formation energy at -4.51 eV per formula unit. The value obtained for the magnetic moment is 0.00 Bohr magnetons per cell. The volume is 496.7 Å³ per cell.

=====

The following is a DFT calculation (PBE-GGA) of a relaxed YGa2Rh crystal.

Lattice parameters (Å, degrees): 4.019 4.019 19.878 90.00 90.00 90.00
Space group I-42d (No. 122)
Unique sites:
Y: 0.000 0.000 0.000
Ga: 0.206 0.250 0.625
Rh: 0.000 0.000 0.500

Calculated values
The calculation puts the formation energy at -1.46 eV per formula unit. The value obtained for the magnetic moment is 0.00 Bohr magnetons per cell. The volume is 321.1 Å³ per cell.

=====

The following is a DFT calculation (PBE-GGA) of a relaxed YGaRh2 crystal.

Lattice parameters (Å, degrees): 3.287 3.287 6.315 90.00 90.00 90.00
Space group P4/mmm (No. 123)
Unique sites:
Y: 0.000 0.000 0.000
Ga: 0.000 0.000 0.500
Rh: 0.500 0.500 0.281

Calculated values
The calculation puts the formation energy at -2.92 eV per formula unit. The value obtained for the magnetic moment is 0.00 Bohr magnetons per cell. The volume is 68.2 Å³ per cell.

=====

The following is a DFT calculation (PBE-GGA) of a relaxed Y4Ga12Rh crystal.

Lattice parameters (Å, degrees): 8.626 8.626 8.626 90.00 90.00 90.00
Space group Im-3m (No. 229)
Unique sites:
Y: 0.250 0.250 0.250
Ga: 0.000 0.000 0.292
Ga: 0.000 0.250 0.500
Rh: 0.000 0.000 0.000

Calculated values
The calculation puts the formation energy at -10.65 eV per formula unit. The value obtained for the magnetic moment is 0.00 Bohr magnetons per cell. The volume is 641.8 Å³ per cell.